The following is a GGA-PBEsol calculation of an optimized crystal structure of TcPt2Rh, from Alexandria via LeMat-Bulk.

Cell: 2.7118 2.7118 26.9386 Å, 90.00 90.00 120.00°
With the nearest neighbours (Å) after each atom.
Space group R3m (No. 160, hexagonal axes)
One atom of each set of equivalent atoms:
Tc: 0.0000 0.0000 0.0000 [3 per cell]  3 Rh 2.60, 6 Tc 2.71, 3 Pt 2.72
Pt: 0.0000 0.0000 0.5038 [3 per cell]  9 Pt 2.71-2.84, 3 Rh 2.79
Pt: 0.0000 0.0000 0.7492 [3 per cell]  9 Pt 2.71-2.84, 3 Tc 2.72
Rh: 0.0000 0.0000 0.2562 [3 per cell]  3 Tc 2.60, 6 Rh 2.71, 3 Pt 2.79

Output
DOS(E_F) ... 11.06 states/eV per cell
Magnetic moment ... 0.0 μB/f.u.
Calculated density ... 17.16 Mg/m³
Energy relative to the elements ... -0.12 eV per atom
Excess energy over the best structure of this formula in the dataset ... 0.0452 eV/atom